--- one ---
Below is ReNiSe2 after structural relaxation, with properties calculated at the PBEsol level.

The structure in POSCAR format:
```
ReNiSe2
1.0
1.548 0.893 8.001
-1.548 0.893 8.001
0.000 -1.787 8.001
Re Ni Se
1 1 2
Cartesian
0.000 0.000 0.000
0.000 0.000 12.002
0.000 0.000 9.788
0.000 0.000 14.216
```

Calculated values
* DOS(E_F): 0.885 states/eV per atom

--- two ---
Below is ReNiSe2 after structural relaxation, with properties calculated at the PBEsol level.

The structure in POSCAR format:
```
ReNiSe2
1.0
3.027 -4.013 0.000
3.027 4.013 0.000
0.000 0.000 2.623
Re Ni Se
1 1 2
Cartesian
0.000 0.000 0.000
3.027 0.000 0.000
1.513 2.007 0.000
1.513 -2.007 0.000
```

Calculated values
* DOS(E_F): 0.890 states/eV per atom

The structure with the greatest stability is one.

--- one ---
Below is ReSiNi after structural relaxation, with properties calculated at the PBEsol level.

The structure in POSCAR format:
```
ReSiNi
1.0
-1.438 1.438 4.391
1.438 -1.438 4.391
1.438 1.438 -4.391
Re Si Ni
1 1 1
Cartesian
0.000 0.000 0.000
0.000 0.000 5.896
0.000 0.000 2.701
```

Calculated values
* DOS(E_F): 0.876 states/eV per atom

--- two ---
Below is ReSiNi after structural relaxation, with properties calculated at the PBEsol level.

The structure in POSCAR format:
```
ReSiNi
1.0
0.000 2.748 2.748
2.748 0.000 2.748
2.748 2.748 0.000
Re Si Ni
1 1 1
Cartesian
0.000 0.000 0.000
4.122 4.122 4.122
2.748 2.748 2.748
```

Calculated values
* DOS(E_F): 1.058 states/eV per atom

The structure with the greatest stability is one.

--- one ---
Below is Sr2ReNi after structural relaxation, with properties calculated at the PBEsol level.

The structure in POSCAR format:
```
Sr2ReNi
1.0
3.327 0.000 0.000
0.000 3.327 0.000
0.000 0.000 8.920
Sr Re Ni
2 1 1
Cartesian
0.000 0.000 0.000
1.663 1.663 3.670
1.663 1.663 6.638
0.000 0.000 5.854
```

Calculated values
* DOS(E_F): 1.520 states/eV per atom

--- two ---
Below is Sr2ReNi after structural relaxation, with properties calculated at the PBEsol level.

The structure in POSCAR format:
```
Sr2ReNi
1.0
0.000 3.502 3.502
3.502 0.000 3.502
3.502 3.502 0.000
Sr Re Ni
2 1 1
Cartesian
0.000 0.000 0.000
1.751 1.751 1.751
3.502 3.502 3.502
5.254 5.254 5.254
```

Calculated values
* DOS(E_F): 0.658 states/eV per atom

The structure with the greatest stability is one.

--- one ---
Below is Re2TcNi after structural relaxation, with properties calculated at the PBEsol level.

The structure in POSCAR format:
```
Re2TcNi
1.0
-1.892 1.892 3.753
1.892 -1.892 3.753
1.892 1.892 -3.753
Re Tc Ni
2 1 1
Cartesian
1.892 0.000 1.877
0.000 1.892 1.877
0.000 0.000 0.000
0.000 0.000 3.753
```

Calculated values
* DOS(E_F): 0.719 states/eV per atom

--- two ---
Below is Re2TcNi after structural relaxation, with properties calculated at the PBEsol level.

The structure in POSCAR format:
```
Re2TcNi
1.0
2.681 0.000 0.000
0.000 2.681 0.000
0.000 0.000 7.486
Re Tc Ni
2 1 1
Cartesian
0.000 0.000 1.799
0.000 0.000 5.687
1.341 1.341 3.743
1.341 1.341 0.000
```

Calculated values
* DOS(E_F): 1.137 states/eV per atom

--- three ---
Below is Re2TcNi after structural relaxation, with properties calculated at the PBEsol level.

The structure in POSCAR format:
```
Re2TcNi
1.0
3.114 0.000 0.000
0.000 3.114 0.000
0.000 0.000 5.565
Re Tc Ni
2 1 1
Cartesian
0.000 0.000 1.248
0.000 0.000 4.317
1.557 1.557 2.783
1.557 1.557 0.000
```

Calculated values
* DOS(E_F): 0.670 states/eV per atom

--- four ---
Below is Re2TcNi after structural relaxation, with properties calculated at the PBEsol level.

The structure in POSCAR format:
```
Re2TcNi
1.0
4.389 -1.360 0.000
4.389 1.360 0.000
-0.818 0.000 4.545
Re Tc Ni
2 1 1
Cartesian
1.983 0.000 1.114
5.976 0.000 3.431
-0.409 0.000 2.272
4.389 0.000 0.000
```

Calculated values
* DOS(E_F): 1.029 states/eV per atom

The structure with the greatest stability is one.

--- one ---
Below is ReTc2Ni after structural relaxation, with properties calculated at the PBEsol level.

The structure in POSCAR format:
```
ReTc2Ni
1.0
2.666 0.000 0.000
0.000 2.666 0.000
0.000 0.000 7.482
Re Tc Ni
1 2 1
Cartesian
0.000 0.000 0.000
0.000 0.000 3.878
1.333 1.333 1.995
1.333 1.333 5.706
```

Calculated values
* DOS(E_F): 1.059 states/eV per atom

--- two ---
Below is ReTc2Ni after structural relaxation, with properties calculated at the PBEsol level.

The structure in POSCAR format:
```
ReTc2Ni
1.0
-1.893 1.893 3.703
1.893 -1.893 3.703
1.893 1.893 -3.703
Re Tc Ni
1 2 1
Cartesian
0.000 0.000 0.000
1.893 0.000 1.852
0.000 1.893 1.852
0.000 0.000 3.703
```

Calculated values
* DOS(E_F): 0.844 states/eV per atom

--- three ---
Below is ReTc2Ni after structural relaxation, with properties calculated at the PBEsol level.

The structure in POSCAR format:
```
ReTc2Ni
1.0
1.340 0.774 8.650
-1.340 0.774 8.650
0.000 -1.548 8.650
Re Tc Ni
1 2 1
Cartesian
0.000 0.000 0.000
0.000 0.000 6.426
0.000 0.000 19.525
0.000 0.000 12.975
```

Calculated values
* DOS(E_F): 1.197 states/eV per atom

The structure with the greatest stability is two.

--- one ---
Below is Tl2ReNi after structural relaxation, with properties calculated at the PBEsol level.

The structure in POSCAR format:
```
Tl2ReNi
1.0
4.533 0.000 0.000
0.000 4.533 0.000
0.000 0.000 3.313
Tl Re Ni
2 1 1
Cartesian
0.000 2.266 0.000
2.266 0.000 0.000
0.000 0.000 1.656
2.266 2.266 1.656
```

Calculated values
* DOS(E_F): 0.631 states/eV per atom

--- two ---
Below is Tl2ReNi after structural relaxation, with properties calculated at the PBEsol level.

The structure in POSCAR format:
```
Tl2ReNi
1.0
4.723 0.000 0.000
0.000 3.019 0.000
-2.100 0.000 4.903
Tl Re Ni
2 1 1
Cartesian
0.000 0.000 0.000
-1.050 1.510 2.452
1.311 0.000 2.452
2.362 1.510 0.000
```

Calculated values
* DOS(E_F): 0.677 states/eV per atom

--- three ---
Below is Tl2ReNi after structural relaxation, with properties calculated at the PBEsol level.

The structure in POSCAR format:
```
Tl2ReNi
1.0
0.000 3.284 3.284
3.284 0.000 3.284
3.284 3.284 0.000
Tl Re Ni
2 1 1
Cartesian
0.000 0.000 0.000
1.642 1.642 1.642
3.284 3.284 3.284
4.926 4.926 4.926
```

Calculated values
* DOS(E_F): 1.603 states/eV per atom

The structure with the greatest stability is one.

--- one ---
Below is TlReNi2 after structural relaxation, with properties calculated at the PBEsol level.

The structure in POSCAR format:
```
TlReNi2
1.0
1.415 0.817 8.393
-1.415 0.817 8.393
0.000 -1.634 8.393
Tl Re Ni
1 1 2
Cartesian
0.000 0.000 0.000
0.000 0.000 19.296
0.000 0.000 6.238
0.000 0.000 12.788
```

Calculated values
* DOS(E_F): 1.215 states/eV per atom

--- two ---
Below is TlReNi2 after structural relaxation, with properties calculated at the PBEsol level.

The structure in POSCAR format:
```
TlReNi2
1.0
-2.028 2.028 3.398
2.028 -2.028 3.398
2.028 2.028 -3.398
Tl Re Ni
1 1 2
Cartesian
0.000 0.000 0.000
0.000 0.000 3.398
2.028 0.000 1.699
0.000 2.028 1.699
```

Calculated values
* DOS(E_F): 0.914 states/eV per atom

The structure with the greatest stability is two.

--- one ---
Below is ReNiW after structural relaxation, with properties calculated at the PBEsol level.

The structure in POSCAR format:
```
ReNiW
1.0
-1.288 1.987 4.036
1.288 -1.987 4.036
1.288 1.987 -4.036
Re Ni W
1 1 1
Cartesian
0.000 0.000 0.000
0.000 0.000 5.326
0.000 0.000 2.632
```

Calculated values
* DOS(E_F): 1.024 states/eV per atom

--- two ---
Below is ReNiW after structural relaxation, with properties calculated at the PBEsol level.

The structure in POSCAR format:
```
ReNiW
1.0
0.000 2.916 2.916
2.916 0.000 2.916
2.916 2.916 0.000
Re Ni W
1 1 1
Cartesian
0.000 0.000 0.000
4.375 4.375 4.375
1.458 1.458 1.458
```

Calculated values
* DOS(E_F): 1.569 states/eV per atom

The structure with the greatest stability is one.

--- one ---
Below is YReNi after structural relaxation, with properties calculated at the PBEsol level.

The structure in POSCAR format:
```
YReNi
1.0
0.000 3.024 3.024
3.024 0.000 3.024
3.024 3.024 0.000
Y Re Ni
1 1 1
Cartesian
0.000 0.000 0.000
3.024 3.024 3.024
4.537 4.537 4.537
```

Calculated values
* DOS(E_F): 1.777 states/eV per atom

--- two ---
Below is YReNi after structural relaxation, with properties calculated at the PBEsol level.

The structure in POSCAR format:
```
YReNi
1.0
0.000 3.114 3.114
3.114 0.000 3.114
3.114 3.114 0.000
Y Re Ni
1 1 1
Cartesian
0.000 0.000 0.000
4.671 4.671 4.671
1.557 1.557 1.557
```

Calculated values
* DOS(E_F): 1.131 states/eV per atom

The structure with the greatest stability is one.

--- one ---
Below is Ni2Rh3 after structural relaxation, with properties calculated at the PBEsol level.

The structure in POSCAR format:
```
Ni2Rh3
1.0
1.313 0.758 10.415
-1.313 0.758 10.415
0.000 -1.516 10.415
Ni Rh
2 3
Cartesian
0.000 0.000 3.152
0.000 0.000 28.094
0.000 0.000 9.320
0.000 0.000 15.623
0.000 0.000 21.926
```

Calculated values
* DOS(E_F): 1.645 states/eV per atom

--- two ---
Below is Ni2Rh3 after structural relaxation, with properties calculated at the PBEsol level.

The structure in POSCAR format:
```
Ni2Rh3
1.0
4.060 -1.830 0.000
4.060 1.830 0.000
-3.994 0.000 4.144
Ni Rh
2 3
Cartesian
-0.373 0.000 1.241
4.500 0.000 2.903
-1.137 0.000 3.714
2.063 0.000 2.072
5.263 0.000 0.430
```

Calculated values
* DOS(E_F): 1.555 states/eV per atom

--- three ---
Below is Ni2Rh3 after structural relaxation, with properties calculated at the PBEsol level.

The structure in POSCAR format:
```
Ni2Rh3
1.0
-1.314 1.832 6.425
1.314 -1.832 6.425
1.314 1.832 -6.425
Ni Rh
2 3
Cartesian
0.000 0.000 2.606
0.000 0.000 10.244
0.000 0.000 0.000
0.000 0.000 5.073
0.000 0.000 7.776
```

Calculated values
* DOS(E_F): 1.693 states/eV per atom

--- four ---
Below is Ni2Rh3 after structural relaxation, with properties calculated at the PBEsol level.

The structure in POSCAR format:
```
Ni2Rh3
1.0
-1.319 1.319 8.854
1.319 -1.319 8.854
1.319 1.319 -8.854
Ni Rh
2 3
Cartesian
0.000 0.000 1.734
0.000 0.000 15.973
0.000 0.000 5.368
0.000 0.000 8.854
0.000 0.000 12.339
```

Calculated values
* DOS(E_F): 1.715 states/eV per atom

The structure with the greatest stability is two.

--- one ---
Below is NiRuRh2 after structural relaxation, with properties calculated at the PBEsol level.

The structure in POSCAR format:
```
NiRuRh2
1.0
1.320 0.762 8.482
-1.320 0.762 8.482
0.000 -1.524 8.482
Ni Ru Rh
1 1 2
Cartesian
0.000 0.000 0.000
0.000 0.000 19.000
0.000 0.000 6.411
0.000 0.000 12.669
```

Calculated values
* DOS(E_F): 1.462 states/eV per atom

--- two ---
Below is NiRuRh2 after structural relaxation, with properties calculated at the PBEsol level.

The structure in POSCAR format:
```
NiRuRh2
1.0
2.642 0.000 0.000
0.000 3.688 0.000
0.000 0.000 5.234
Ni Ru Rh
1 1 2
Cartesian
0.000 0.000 0.000
1.321 1.844 3.973
0.000 0.000 2.677
1.321 1.844 1.267
```

Calculated values
* DOS(E_F): 1.348 states/eV per atom

--- three ---
Below is NiRuRh2 after structural relaxation, with properties calculated at the PBEsol level.

The structure in POSCAR format:
```
NiRuRh2
1.0
-1.844 1.844 3.741
1.844 -1.844 3.741
1.844 1.844 -3.741
Ni Ru Rh
1 1 2
Cartesian
0.000 0.000 0.000
0.000 0.000 3.741
1.844 0.000 1.871
0.000 1.844 1.871
```

Calculated values
* DOS(E_F): 1.339 states/eV per atom

The structure with the greatest stability is three.